{
  "formula": "TaFeP2",
  "functional": "meta-GGA SCAN",
  "state": "PBEsol geometry",
  "lattice": [[2.828, 0.000, -0.082], [0.000, 4.248, 0.000], [-1.293, 0.000, 4.492]],
  "species": ["Fe", "P", "P", "Ta"],
  "frac_coords": [[0.090, 0.500, 0.804], [0.157, 0.000, 0.939], [0.825, 0.500, 0.272], [0.428, 0.000, 0.485]],
  "ef_ev_per_atom": -0.174,
  "polymorph_energy_mev_per_atom": 241.2
}

***

{
  "formula": "Cd4ReCl",
  "functional": "meta-GGA SCAN",
  "state": "PBEsol geometry",
  "lattice": [[-2.900, -4.296, 1.855], [-2.008, -3.702, -3.545], [2.148, -5.064, -0.202]],
  "species": ["Cd", "Cd", "Cd", "Cd", "Cl", "Re"],
  "frac_coords": [[0.374, 0.374, 0.374], [0.374, 0.374, 0.878], [0.878, 0.374, 0.374], [0.374, 0.878, 0.374], [0.750, 0.750, 0.750], [0.000, 0.000, 0.000]],
  "formation_energy_uncorrected_ev_per_atom": 0.78
}

***

{
  "formula": "Co2AuCl",
  "functional": "meta-GGA SCAN",
  "state": "PBEsol geometry",
  "lattice": [[2.742, 0.000, 0.000], [0.000, 4.143, 0.000], [0.000, 0.000, 5.427]],
  "species": ["Co", "Co", "Au", "Cl"],
  "frac_coords": [[0.000, 0.000, 0.000], [0.500, 0.000, 0.500], [0.500, 0.500, 0.000], [0.000, 0.500, 0.500]],
  "polymorph_energy_mev_per_atom": 228.2,
  "formation_energy_uncorrected_ev_per_atom": 0.41
}

***

{
  "formula": "Be3Sb",
  "functional": "meta-GGA SCAN",
  "state": "PBEsol geometry",
  "lattice": [[3.630, 0.000, 0.000], [-1.815, 3.593, -0.015], [0.000, -0.407, 4.210]],
  "species": ["Sb", "Be", "Be", "Be"],
  "frac_coords": [[0.000, 0.000, 0.000], [0.500, 0.000, 0.500], [0.201, 0.401, 0.583], [0.799, 0.599, 0.417]],
  "polymorph_energy_mev_per_atom": 0.0,
  "formation_energy_uncorrected_ev_per_atom": 0.39
}

***

{
  "formula": "NdZn2",
  "functional": "meta-GGA SCAN",
  "state": "PBEsol geometry",
  "lattice": [[4.532, 0.000, 0.000], [2.266, 5.174, -0.064], [2.266, 0.004, 5.174]],
  "species": ["Zn", "Zn", "Zn", "Zn", "Nd", "Nd"],
  "frac_coords": [[0.664, 0.899, 0.773], [0.336, 0.727, 0.601], [0.336, 0.101, 0.227], [0.664, 0.273, 0.399], [0.952, 0.298, 0.798], [0.048, 0.702, 0.202]],
  "ef_ev_per_atom": -0.452
}

***

{
  "formula": "YSi2Ir2",
  "functional": "meta-GGA SCAN",
  "state": "PBEsol geometry",
  "lattice": [[4.037, 0.000, 0.000], [0.000, 4.037, 0.000], [-2.018, -2.018, 4.950]],
  "species": ["Y", "Si", "Si", "Ir", "Ir"],
  "frac_coords": [[0.000, 0.000, 0.000], [0.379, 0.379, 0.758], [0.621, 0.621, 0.242], [0.250, 0.750, 0.500], [0.750, 0.250, 0.500]],
  "formation_energy_uncorrected_ev_per_atom": -1.25
}

***

{
  "formula": "ZrSbAs2",
  "functional": "meta-GGA SCAN",
  "state": "PBEsol geometry",
  "lattice": [[3.514, 0.000, 0.000], [0.000, 3.514, 0.000], [0.000, 0.000, 6.614]],
  "species": ["Sb", "As", "As", "Zr"],
  "frac_coords": [[0.500, 0.500, 0.000], [0.000, 0.000, 0.699], [0.000, 0.000, 0.301], [0.500, 0.500, 0.500]],
  "formation_energy_uncorrected_ev_per_atom": -0.45
}

***

{
  "formula": "ZnInAg2",
  "functional": "meta-GGA SCAN",
  "state": "PBEsol geometry",
  "lattice": [[3.077, 0.000, 0.000], [-1.538, 4.715, -0.060], [0.000, -1.183, 4.797]],
  "species": ["Zn", "Ag", "Ag", "In"],
  "frac_coords": [[0.500, 0.000, 0.000], [0.761, 0.521, 0.763], [0.239, 0.479, 0.237], [0.000, 0.000, 0.500]],
  "ef_ev_per_atom": 0.045
}

***

no.,calculated total energy (eV/f.u.)
1,-106.21
2,-196.03
3,-110.10
4,-48.75
5,-71.97
6,-196.33
7,-110.16
8,-109.46